Here is a relaxed SrTiNbIr2 crystal from the Alexandria database. Energies are from PBE.

Computed properties:
Density (Mg/m³): 9.66
E_form (eV/atom): -0.54
N(E_F) (states/eV/f.u.): 4.17
Spin magnetization (μB/f.u.): 0.00

a = 4.436 Å, b = 4.436 Å, c = 10.706 Å
α = 90.00°, β = 90.00°, γ = 90.00°
Space group I-4m2 (No. 119)
Inequivalent atoms, fractional coordinates:
1 Sr 0.000 0.000 0.000 (multiplicity 2)
2 Ti 0.000 0.500 0.250 (multiplicity 2)
3 Nb 0.000 0.500 0.750 (multiplicity 2)
4 Ir 0.000 0.000 0.375 (multiplicity 4)

Here is a relaxed CsCdC2O6 crystal from the Alexandria database. Energies are from PBE.

Computed properties:
Density (Mg/m³): 3.69
N(E_F) (states/eV/f.u.): 4.44
Raw formation energy (eV per atom): -1.35
Spin magnetization (μB/f.u.): 1.01

a = 9.394 Å, b = 10.071 Å, c = 7.639 Å
α = 90.00°, β = 114.55°, γ = 90.00°
Space group C2/c (No. 15)
Inequivalent atoms, fractional coordinates:
1 Cs 0.000 0.104 0.250 (multiplicity 4)
2 Cd 0.000 0.357 0.750 (multiplicity 4)
3 C 0.213 0.388 0.216 (multiplicity 8)
4 O 0.094 0.338 0.075 (multiplicity 8)
5 O 0.154 0.174 0.714 (multiplicity 8)
6 O 0.204 0.499 0.295 (multiplicity 8)

Here is a relaxed TlAg3Sb2 crystal from the Alexandria database. Energies are from PBE.

Computed properties:
Density (Mg/m³): 8.69
N(E_F) (states/eV/f.u.): 2.54
Raw formation energy (eV per atom): 0.07
Spin magnetization (μB/f.u.): 0.00

a = 16.623 Å, b = 5.110 Å, c = 7.878 Å
α = 90.00°, β = 118.24°, γ = 90.00°
Space group C2/m (No. 12)
Inequivalent atoms, fractional coordinates:
1 Tl 0.131 0.000 0.130 (multiplicity 4)
2 Ag 0.001 0.000 0.325 (multiplicity 4)
3 Ag 0.193 0.500 0.487 (multiplicity 4)
4 Ag 0.193 0.500 0.898 (multiplicity 4)
5 Sb 0.000 0.500 0.185 (multiplicity 4)
6 Sb 0.181 0.000 0.681 (multiplicity 4)

Here is a relaxed CsHf3Mo crystal from the Alexandria database. Energies are from PBE.

Computed properties:
Density (Mg/m³): 8.77
E_form (eV/atom): 1.02
N(E_F) (states/eV/f.u.): 8.38
Spin magnetization (μB/f.u.): 0.00

a = 5.250 Å, b = 5.250 Å, c = 5.250 Å
α = 90.00°, β = 90.00°, γ = 90.00°
Space group Pm-3m (No. 221)
Inequivalent atoms, fractional coordinates:
1 Cs 0.000 0.000 0.000 (multiplicity 1)
2 Hf 0.000 0.500 0.500 (multiplicity 3)
3 Mo 0.500 0.500 0.500 (multiplicity 1)

Here is a relaxed KBa2Fe crystal from the Alexandria database. Energies are from PBE.

Computed properties:
Density (Mg/m³): 3.47
E_form (eV/atom): 0.76
N(E_F) (states/eV/f.u.): 8.26
Spin magnetization (μB/f.u.): 2.10

a = 5.313 Å, b = 5.313 Å, c = 12.522 Å
α = 90.00°, β = 90.00°, γ = 90.00°
Space group I-4m2 (No. 119)
Inequivalent atoms, fractional coordinates:
1 K 0.000 0.000 0.000 (multiplicity 2)
2 Ba 0.000 0.000 0.500 (multiplicity 2)
3 Ba 0.000 0.500 0.750 (multiplicity 2)
4 Fe 0.000 0.500 0.250 (multiplicity 2)

Here is a relaxed Li5YMg7 crystal from the Alexandria database. Energies are from PBE.

Computed properties:
Density (Mg/m³): 1.72
E_form (eV/atom): -0.03
N(E_F) (states/eV/f.u.): 8.70
Spin magnetization (μB/f.u.): 0.00

a = 5.422 Å, b = 10.181 Å, c = 10.261 Å
α = 90.00°, β = 90.00°, γ = 90.00°
Space group Imm2 (No. 44)
Inequivalent atoms, fractional coordinates:
1 Li 0.000 0.000 0.000 (multiplicity 2)
2 Li 0.249 0.248 0.966 (multiplicity 8)
3 Y 0.000 0.500 0.718 (multiplicity 2)
4 Mg 0.000 0.000 0.428 (multiplicity 2)
5 Mg 0.000 0.149 0.715 (multiplicity 4)
6 Mg 0.000 0.207 0.214 (multiplicity 4)
7 Mg 0.000 0.500 0.067 (multiplicity 2)
8 Mg 0.000 0.500 0.367 (multiplicity 2)

Here is a relaxed Sr2LiCr crystal from the Alexandria database. Energies are from PBE.

Computed properties:
Density (Mg/m³): 2.71
E_form (eV/atom): 0.62
N(E_F) (states/eV/f.u.): 3.15
Spin magnetization (μB/f.u.): 4.44

a = 8.902 Å, b = 8.902 Å, c = 7.238 Å
α = 90.00°, β = 90.00°, γ = 90.00°
Space group I-42d (No. 122)
Inequivalent atoms, fractional coordinates:
1 Sr 0.248 0.250 0.125 (multiplicity 8)
2 Li 0.000 0.000 0.500 (multiplicity 4)
3 Cr 0.000 0.000 0.000 (multiplicity 4)

Here is a relaxed CsRbLi2Br4 crystal from the Alexandria database. Energies are from PBE.

Computed properties:
Density (Mg/m³): 3.23
N(E_F) (states/eV/f.u.): 0.00
Raw formation energy (eV per atom): -1.57
Spin magnetization (μB/f.u.): 0.00

a = 5.417 Å, b = 5.417 Å, c = 9.658 Å
α = 90.00°, β = 90.00°, γ = 90.00°
Space group P4/mmm (No. 123)
Inequivalent atoms, fractional coordinates:
1 Cs 0.000 0.000 0.000 (multiplicity 1)
2 Rb 0.000 0.000 0.500 (multiplicity 1)
3 Li 0.500 0.500 0.264 (multiplicity 2)
4 Br 0.000 0.500 0.262 (multiplicity 4)

Here is a relaxed LiLaP4 crystal from the Alexandria database. Energies are from PBE.

Computed properties:
Density (Mg/m³): 4.12
E_form (eV/atom): -0.28
N(E_F) (states/eV/f.u.): 3.12
Spin magnetization (μB/f.u.): 0.00

a = 7.575 Å, b = 7.575 Å, c = 7.575 Å
α = 90.00°, β = 90.00°, γ = 90.00°
Space group F-43m (No. 216)
Inequivalent atoms, fractional coordinates:
1 Li 0.000 0.000 0.000 (multiplicity 4)
2 La 0.250 0.250 0.250 (multiplicity 4)
3 P 0.134 0.134 0.634 (multiplicity 16)

Here is a relaxed CuAs2P crystal from the Alexandria database. Energies are from PBE.

Computed properties:
Density (Mg/m³): 6.02
E_form (eV/atom): 0.37
N(E_F) (states/eV/f.u.): 1.06
Spin magnetization (μB/f.u.): 0.00

a = 2.729 Å, b = 2.729 Å, c = 9.052 Å
α = 90.00°, β = 90.00°, γ = 90.00°
Space group P4mm (No. 99)
Inequivalent atoms, fractional coordinates:
1 Cu 0.000 0.000 0.000 (multiplicity 1)
2 As 0.000 0.000 0.480 (multiplicity 1)
3 As 0.500 0.500 0.777 (multiplicity 1)
4 P 0.500 0.500 0.183 (multiplicity 1)

Here is a relaxed ReGeI3 crystal from the Alexandria database. Energies are from PBE.

Computed properties:
Density (Mg/m³): 6.55
N(E_F) (states/eV/f.u.): 7.31
Raw formation energy (eV per atom): 0.95
Spin magnetization (μB/f.u.): 2.90

a = 5.454 Å, b = 5.454 Å, c = 5.454 Å
α = 90.00°, β = 90.00°, γ = 90.00°
Space group Pm-3m (No. 221)
Inequivalent atoms, fractional coordinates:
1 Re 0.000 0.000 0.000 (multiplicity 1)
2 Ge 0.500 0.500 0.500 (multiplicity 1)
3 I 0.000 0.000 0.500 (multiplicity 3)

Here is a relaxed Mg2Pd3Au crystal from the Alexandria database. Energies are from PBE.

Computed properties:
Density (Mg/m³): 9.51
E_form (eV/atom): -0.53
N(E_F) (states/eV/f.u.): 2.16
Spin magnetization (μB/f.u.): 0.00

a = 14.518 Å, b = 3.994 Å, c = 8.233 Å
α = 90.00°, β = 124.26°, γ = 90.00°
Space group C2/m (No. 12)
Inequivalent atoms, fractional coordinates:
1 Mg 0.084 0.000 0.429 (multiplicity 4)
2 Mg 0.244 0.500 0.135 (multiplicity 4)
3 Pd 0.080 0.500 0.202 (multiplicity 4)
4 Pd 0.090 0.000 0.969 (multiplicity 4)
5 Pd 0.243 0.500 0.619 (multiplicity 4)
6 Au 0.085 0.500 0.713 (multiplicity 4)

no.,E_tot (eV/atom)
1,-8.01
2,-6.35
3,-3.12
4,-7.29
5,-2.59
6,-2.13
7,-3.10
8,-3.11
9,-5.03
10,-4.33
11,-3.39
12,-4.21